VASP calculation (meta-GGA SCAN) on a crystal of Sr2PtW relaxed with PBEsol.

Lattice parameters (Å, degrees): 3.329 3.329 9.531 90.00 90.00 90.00
Fractional positions:
Pt 0.500 0.500 0.690
Sr 0.000 0.000 0.926
Sr 0.500 0.500 0.319
W 0.000 0.000 0.566

Excess energy over the best structure of this formula in the dataset = 111.5 meV per atom
Volume = 26.41 Å³ per atom
Space group = P4mm
ΔH_f (0 K) = 30 kJ/mol of atoms

=====

VASP calculation (meta-GGA SCAN) on a crystal of Sr2PtW relaxed with PBEsol.

Lattice parameters (Å, degrees): 3.927 4.993 4.993 90.00 90.00 90.00
Each line ends with the local moment (μB).
Fractional positions:
Sr 0.000 0.500 0.000  0.08
Sr 0.000 0.000 0.500  0.08
Pt 0.500 0.000 0.000  0.00
W 0.500 0.500 0.500  2.27

Excess energy over the best structure of this formula in the dataset = 510.9 meV per atom
Volume = 24.48 Å³ per atom
Space group = P4/mmm
ΔH_f (0 K) = 69 kJ/mol of atoms

=====

VASP calculation (meta-GGA SCAN) on a crystal of SrPt2W relaxed with PBEsol.

Lattice parameters (Å, degrees): 2.819 4.869 6.077 113.62 103.41 90.00
Fractional positions:
Sr 0.495 0.495 0.991
Pt 0.727 0.227 0.454
Pt 0.994 0.994 0.989
W 0.284 0.784 0.567

Volume = 18.49 Å³ per atom
Space group = Imm2
ΔH_f (0 K) = 6 kJ/mol of atoms

=====

VASP calculation (meta-GGA SCAN) on a crystal of Sr2YPt relaxed with PBEsol.

Lattice parameters (Å, degrees): 3.857 4.086 9.125 102.94 90.00 90.00
Fractional positions:
Pt 0.500 0.361 0.721
Sr 0.000 0.218 0.435
Y 0.000 0.888 0.775
Sr 0.500 0.535 0.069

Volume = 35.03 Å³ per atom
Space group = Amm2
ΔH_f (0 K) = -63 kJ/mol of atoms

=====

So what do the calculations give for final energy? Going down the list: -183.18; -181.58; -232.10; -145.21 eV/f.u..